Computed, not measured: crystalline Ti4AlCo2 at its relaxed geometry at the PBE level of DFT.

**Total DFT energy (no corrections)**: -7.10 eV per atom
**ΔE_f**: -28.6 meV/atom
**Density of states at the Fermi level**: 8.29 states/eV/f.u.

CIF file:
```
data_Ti4AlCo2
_chemical_formula_sum 'Ti12 Al3 Co6'
_cell_length_a 3.7736
_cell_length_b 3.7736
_cell_length_c 27.9617
_cell_angle_alpha 90.00
_cell_angle_beta 90.00
_cell_angle_gamma 120.00
_symmetry_space_group_name_H-M 'R -3 m'
_symmetry_Int_Tables_number 166
_symmetry_space_group_name_Hall '-R 3 2"'
loop_
_atom_site_label
_atom_site_type_symbol
_atom_site_fract_x
_atom_site_fract_y
_atom_site_fract_z
Ti1 Ti 0.0000 0.0000 0.1063
Ti2 Ti 0.0000 0.0000 0.3003
Al1 Al 0.0000 0.0000 0.5000
Co1 Co 0.0000 0.0000 0.4027
```

Computed, not measured: crystalline Ti4AlCo5 at its relaxed geometry at the PBE level of DFT.

**Total DFT energy (no corrections)**: -7.53 eV per atom
**ΔE_f**: -441.8 meV/atom
**Density of states at the Fermi level**: 9.27 states/eV/f.u.

CIF file:
```
data_Ti4AlCo5
_chemical_formula_sum 'Ti4 Al1 Co5'
_cell_length_a 2.958
_cell_length_b 2.958
_cell_length_c 14.738
_cell_angle_alpha 90.00
_cell_angle_beta 90.00
_cell_angle_gamma 90.00
_symmetry_space_group_name_H-M 'P 4/m m m'
_symmetry_Int_Tables_number 123
_symmetry_space_group_name_Hall '-P 4 2'
loop_
_atom_site_label
_atom_site_type_symbol
_atom_site_fract_x
_atom_site_fract_y
_atom_site_fract_z
Ti1 Ti 0.000 0.000 0.102
Ti2 Ti 0.000 0.000 0.306
Al1 Al 0.000 0.000 0.500
Co1 Co 0.500 0.500 0.000
Co2 Co 0.500 0.500 0.206
Co3 Co 0.500 0.500 0.403
```

Computed, not measured: crystalline Ti2AlCo6 at its relaxed geometry at the PBE level of DFT.

**Total DFT energy (no corrections)**: -7.01 eV per atom
**ΔE_f**: -106.1 meV/atom
**Density of states at the Fermi level**: 8.97 states/eV/f.u.

CIF file:
```
data_Ti2AlCo6
_chemical_formula_sum 'Ti4 Al2 Co12'
_cell_length_a 2.612
_cell_length_b 7.344
_cell_length_c 11.567
_cell_angle_alpha 90.00
_cell_angle_beta 90.00
_cell_angle_gamma 90.00
_symmetry_space_group_name_H-M 'I m m m'
_symmetry_Int_Tables_number 71
_symmetry_space_group_name_Hall '-I 2 2'
loop_
_atom_site_label
_atom_site_type_symbol
_atom_site_fract_x
_atom_site_fract_y
_atom_site_fract_z
Ti1 Ti 0.000 0.000 0.140
Al1 Al 0.000 0.500 0.000
Co1 Co 0.000 0.293 0.500
Co2 Co 0.000 0.332 0.181
```

Computed, not measured: crystalline TiAl2Co at its relaxed geometry at the PBE level of DFT.

**Total DFT energy (no corrections)**: -5.92 eV per atom
**ΔE_f**: -297.4 meV/atom
**Density of states at the Fermi level**: 3.55 states/eV/f.u.

CIF file:
```
data_TiAl2Co
_chemical_formula_sum 'Ti4 Al8 Co4'
_cell_length_a 6.061
_cell_length_b 6.061
_cell_length_c 6.061
_cell_angle_alpha 90.00
_cell_angle_beta 90.00
_cell_angle_gamma 90.00
_symmetry_space_group_name_H-M 'F m -3 m'
_symmetry_Int_Tables_number 225
_symmetry_space_group_name_Hall '-F 4 2 3'
loop_
_atom_site_label
_atom_site_type_symbol
_atom_site_fract_x
_atom_site_fract_y
_atom_site_fract_z
Ti1 Ti 0.000 0.000 0.000
Al1 Al 0.250 0.250 0.250
Co1 Co 0.000 0.000 0.500
```

Computed, not measured: crystalline Ti8Al4Co3 at its relaxed geometry at the PBE level of DFT.

**Total DFT energy (no corrections)**: -6.98 eV per atom
**ΔE_f**: -350.2 meV/atom
**Density of states at the Fermi level**: 16.83 states/eV/f.u.

CIF file:
```
data_Ti8Al4Co3
_chemical_formula_sum 'Ti8 Al4 Co3'
_cell_length_a 4.006
_cell_length_b 4.006
_cell_length_c 14.325
_cell_angle_alpha 90.00
_cell_angle_beta 90.00
_cell_angle_gamma 90.00
_symmetry_space_group_name_H-M 'P -4 m 2'
_symmetry_Int_Tables_number 115
loop_
_symmetry_equiv_pos_as_xyz
'x,y,z'
'y,-x,-z'
'-x,-y,z'
'-y,x,-z'
'-x,y,z'
'-y,-x,-z'
'x,-y,z'
'y,x,-z'
loop_
_atom_site_label
_atom_site_type_symbol
_atom_site_fract_x
_atom_site_fract_y
_atom_site_fract_z
Ti1 Ti 0.000 0.000 0.245
Ti2 Ti 0.000 0.500 0.395
Ti3 Ti 0.000 0.500 0.909
Ti4 Ti 0.500 0.500 0.250
Al1 Al 0.000 0.500 0.106
Al2 Al 0.000 0.500 0.610
Co1 Co 0.000 0.000 0.000
Co2 Co 0.000 0.000 0.500
Co3 Co 0.500 0.500 0.500
```

Computed, not measured: crystalline Ti2Al6Co at its relaxed geometry at the PBE level of DFT.

**Total DFT energy (no corrections)**: -5.38 eV per atom
**ΔE_f**: -337.7 meV/atom
**Density of states at the Fermi level**: 5.25 states/eV/f.u.

CIF file:
```
data_Ti2Al6Co
_chemical_formula_sum 'Ti4 Al12 Co2'
_cell_length_a 6.101
_cell_length_b 11.317
_cell_length_c 4.113
_cell_angle_alpha 90.00
_cell_angle_beta 90.00
_cell_angle_gamma 90.00
_symmetry_space_group_name_H-M 'C m m m'
_symmetry_Int_Tables_number 65
_symmetry_space_group_name_Hall '-C 2 2'
loop_
_atom_site_label
_atom_site_type_symbol
_atom_site_fract_x
_atom_site_fract_y
_atom_site_fract_z
Ti1 Ti 0.000 0.231 0.000
Al1 Al 0.216 0.359 0.500
Al2 Al 0.232 0.000 0.000
Co1 Co 0.000 0.000 0.500
```

Computed, not measured: crystalline Ti3Al2Co3 at its relaxed geometry at the PBE level of DFT.

**Total DFT energy (no corrections)**: -7.00 eV per atom
**ΔE_f**: -437.4 meV/atom
**Density of states at the Fermi level**: 5.30 states/eV/f.u.

CIF file:
```
data_Ti3Al2Co3
_chemical_formula_sum 'Ti9 Al6 Co9'
_cell_length_a 4.2050
_cell_length_b 4.2050
_cell_length_c 20.9323
_cell_angle_alpha 90.00
_cell_angle_beta 90.00
_cell_angle_gamma 120.00
_symmetry_space_group_name_H-M 'R 3 m'
_symmetry_Int_Tables_number 160
_symmetry_space_group_name_Hall 'R 3 -2"'
loop_
_atom_site_label
_atom_site_type_symbol
_atom_site_fract_x
_atom_site_fract_y
_atom_site_fract_z
Ti1 Ti 0.0000 0.0000 0.0000
Ti2 Ti 0.0000 0.0000 0.1290
Ti3 Ti 0.0000 0.0000 0.5104
Al1 Al 0.0000 0.0000 0.2586
Al2 Al 0.0000 0.0000 0.7466
Co1 Co 0.0000 0.0000 0.3794
Co2 Co 0.0000 0.0000 0.6292
Co3 Co 0.0000 0.0000 0.8794
```

Computed, not measured: crystalline Y2TiAl2Co5 at its relaxed geometry at the PBE level of DFT.

**Total DFT energy (no corrections)**: -6.64 eV per atom
**ΔE_f**: -258.4 meV/atom
**Density of states at the Fermi level**: 5.25 states/eV/f.u.

CIF file:
```
data_Y2TiAl2Co5
_chemical_formula_sum 'Y4 Ti2 Al4 Co10'
_cell_length_a 9.672
_cell_length_b 9.672
_cell_length_c 3.221
_cell_angle_alpha 90.00
_cell_angle_beta 90.00
_cell_angle_gamma 90.00
_symmetry_space_group_name_H-M 'P 4/m b m'
_symmetry_Int_Tables_number 127
_symmetry_space_group_name_Hall '-P 4 2ab'
loop_
_atom_site_label
_atom_site_type_symbol
_atom_site_fract_x
_atom_site_fract_y
_atom_site_fract_z
Y1 Y 0.173 0.327 0.000
Ti1 Ti 0.000 0.000 0.000
Al1 Al 0.125 0.625 0.000
Co1 Co 0.000 0.500 0.500
Co2 Co 0.062 0.800 0.500
```

Computed, not measured: crystalline AlTl2Co at its relaxed geometry at the PBE level of DFT.

**Total DFT energy (no corrections)**: -3.67 eV per atom
**ΔE_f**: 224.7 meV/atom
**Density of states at the Fermi level**: 2.55 states/eV/f.u.

CIF file:
```
data_AlTl2Co
_chemical_formula_sum 'Al2 Tl4 Co2'
_cell_length_a 8.502
_cell_length_b 3.047
_cell_length_c 7.196
_cell_angle_alpha 90.00
_cell_angle_beta 107.65
_cell_angle_gamma 90.00
_symmetry_space_group_name_H-M 'C 1 m 1'
_symmetry_Int_Tables_number 8
loop_
_symmetry_equiv_pos_as_xyz
'x,y,z'
'x,-y,z'
'x+1/2,y+1/2,z'
'x+1/2,-y+1/2,z'
loop_
_atom_site_label
_atom_site_type_symbol
_atom_site_fract_x
_atom_site_fract_y
_atom_site_fract_z
Al1 Al 0.000 0.000 0.000
Tl1 Tl 0.156 0.500 0.669
Tl2 Tl 0.320 0.500 0.331
Co1 Co 0.281 0.000 0.001
```

Computed, not measured: crystalline AlTl2Co at its relaxed geometry at the PBE level of DFT.

**Total DFT energy (no corrections)**: -3.70 eV per atom
**ΔE_f**: 190.2 meV/atom
**Density of states at the Fermi level**: 0.00 states/eV/f.u.

CIF file:
```
data_AlTl2Co
_chemical_formula_sum 'Al4 Tl8 Co4'
_cell_length_a 9.906
_cell_length_b 9.906
_cell_length_c 4.589
_cell_angle_alpha 90.00
_cell_angle_beta 90.00
_cell_angle_gamma 90.00
_symmetry_space_group_name_H-M 'I -4 2 d'
_symmetry_Int_Tables_number 122
_symmetry_space_group_name_Hall 'I -4 2bw'
loop_
_atom_site_label
_atom_site_type_symbol
_atom_site_fract_x
_atom_site_fract_y
_atom_site_fract_z
Al1 Al 0.000 0.000 0.000
Tl1 Tl 0.001 0.750 0.625
Co1 Co 0.000 0.000 0.500
```

Computed, not measured: crystalline Al2TlCo at its relaxed geometry at the PBE level of DFT.

**Total DFT energy (no corrections)**: -3.86 eV per atom
**ΔE_f**: 382.6 meV/atom
**Density of states at the Fermi level**: 3.02 states/eV/f.u.

CIF file:
```
data_Al2TlCo
_chemical_formula_sum 'Al8 Tl4 Co4'
_cell_length_a 4.158
_cell_length_b 4.158
_cell_length_c 17.344
_cell_angle_alpha 90.00
_cell_angle_beta 90.00
_cell_angle_gamma 90.00
_symmetry_space_group_name_H-M 'I -4 2 d'
_symmetry_Int_Tables_number 122
_symmetry_space_group_name_Hall 'I -4 2bw'
loop_
_atom_site_label
_atom_site_type_symbol
_atom_site_fract_x
_atom_site_fract_y
_atom_site_fract_z
Al1 Al 0.192 0.250 0.125
Tl1 Tl 0.000 0.000 0.500
Co1 Co 0.000 0.000 0.000
```

Computed, not measured: crystalline Al2TlCo at its relaxed geometry at the PBE level of DFT.

**Total DFT energy (no corrections)**: -4.30 eV per atom
**ΔE_f**: -63.7 meV/atom
**Density of states at the Fermi level**: 1.80 states/eV/f.u.

CIF file:
```
data_Al2TlCo
_chemical_formula_sum 'Al2 Tl1 Co1'
_cell_length_a 2.933
_cell_length_b 2.933
_cell_length_c 8.272
_cell_angle_alpha 90.00
_cell_angle_beta 90.00
_cell_angle_gamma 90.00
_symmetry_space_group_name_H-M 'P 4/m m m'
_symmetry_Int_Tables_number 123
_symmetry_space_group_name_Hall '-P 4 2'
loop_
_atom_site_label
_atom_site_type_symbol
_atom_site_fract_x
_atom_site_fract_y
_atom_site_fract_z
Al1 Al 0.000 0.000 0.168
Tl1 Tl 0.500 0.500 0.500
Co1 Co 0.500 0.500 0.000
```